DFT (PBE-GGA) results for a geometry-optimized BaSr2HgPd structure.

Formation energy from the elements, kJ per mole of atoms: -32.16

a b c (Å): 5.904 5.904 6.196
angles (deg): 90.00 90.00 90.00
Fractional coordinates of all 5 atoms:
Ba  0.000  0.000  0.500
Sr  0.000  0.500  0.000
Sr  0.500  0.000  0.000
Hg  0.500  0.500  0.500
Pd  0.000  0.000  0.000

DFT (PBE-GGA) results for a geometry-optimized Sr3Ca4Mg structure.

Formation energy from the elements, kJ per mole of atoms: -0.26

a b c (Å): 4.077 4.077 21.140
angles (deg): 90.00 90.00 90.00
Fractional coordinates of all 8 atoms:
Ca  0.000  0.000  0.910
Ca  0.000  0.000  0.364
Ca  0.000  0.000  0.636
Ca  0.000  0.000  0.090
Mg  0.500  0.500  0.000
Sr  0.500  0.500  0.500
Sr  0.500  0.500  0.773
Sr  0.500  0.500  0.227

DFT (PBE-GGA) results for a geometry-optimized GdPaZn structure.

Formation energy from the elements, kJ per mole of atoms: 4.11

a b c (Å): 3.179 3.179 7.406
angles (deg): 102.39 102.39 90.00
Fractional coordinates of all 3 atoms:
Zn  0.667  0.667  0.335
Pa  0.320  0.320  0.640
Gd  0.013  0.013  0.025

DFT (PBE-GGA) results for a geometry-optimized Tb2Pd3Au4 structure.

Formation energy from the elements, kJ per mole of atoms: -67.33

a b c (Å): 4.251 5.305 8.634
angles (deg): 74.78 75.75 66.38
Fractional coordinates of all 9 atoms:
Au  0.009  0.321  0.661
Au  0.991  0.679  0.339
Au  0.664  0.560  0.112
Au  0.336  0.440  0.888
Tb  0.326  0.115  0.233
Tb  0.674  0.885  0.767
Pd  0.660  0.234  0.446
Pd  0.340  0.766  0.554
Pd  0.000  0.000  0.000

DFT (PBE-GGA) results for a geometry-optimized TlHgF3 structure.

Formation energy without anion corrections, eV/atom: -1.581

a b c (Å): 23.894 6.163 8.593
angles (deg): 90.00 160.85 90.00
Fractional coordinates of all 20 atoms:
Tl  0.385  0.728  0.804
Tl  0.615  0.272  0.196
Tl  0.885  0.772  0.304
Tl  0.115  0.228  0.696
F  0.480  0.905  0.779
F  0.803  0.568  0.470
F  0.980  0.595  0.279
F  0.197  0.432  0.530
F  0.911  0.102  0.904
F  0.411  0.398  0.404
F  0.589  0.602  0.596
F  0.089  0.898  0.096
F  0.020  0.405  0.721
F  0.697  0.068  0.030
F  0.520  0.095  0.221
F  0.303  0.932  0.970
Hg  0.542  0.750  0.717
Hg  0.458  0.250  0.283
Hg  0.958  0.250  0.783
Hg  0.042  0.750  0.217

DFT (PBE-GGA) results for a geometry-optimized La3Tb2HoBi6 structure.

Formation energy from the elements, kJ per mole of atoms: -92.43

a b c (Å): 7.971 7.971 7.939
angles (deg): 99.63 99.63 119.99
Fractional coordinates of all 12 atoms:
Ho  0.000  0.000  0.000
Bi  0.589  0.921  0.763
Bi  0.747  0.747  0.238
Bi  0.411  0.079  0.237
Bi  0.079  0.411  0.237
Bi  0.253  0.253  0.762
Bi  0.921  0.589  0.763
La  0.833  0.167  0.500
La  0.500  0.500  0.500
La  0.167  0.833  0.500
Tb  0.334  0.666  0.000
Tb  0.666  0.334  0.000

DFT (PBE-GGA) results for a geometry-optimized Li4Sm3Cd4 structure.

Formation energy from the elements, kJ per mole of atoms: -15.65

a b c (Å): 4.774 7.578 8.566
angles (deg): 116.25 106.18 90.00
Fractional coordinates of all 11 atoms:
Li  0.676  0.862  0.353
Li  0.324  0.138  0.647
Li  0.324  0.510  0.647
Li  0.676  0.490  0.353
Sm  0.000  0.500  0.000
Sm  0.119  0.119  0.237
Sm  0.881  0.881  0.763
Cd  0.500  0.197  0.000
Cd  0.222  0.722  0.445
Cd  0.500  0.803  0.000
Cd  0.778  0.278  0.555

DFT (PBE-GGA) results for a geometry-optimized BaZnCuSi2 structure.

Formation energy without anion corrections, eV/atom: 1.737

a b c (Å): 5.908 5.627 5.908
angles (deg): 90.00 90.00 90.00
Fractional coordinates of all 5 atoms:
Si  0.500  0.000  0.000
Si  0.000  0.000  0.500
Ba  0.000  0.000  0.000
Cu  0.000  0.500  0.000
Zn  0.500  0.500  0.500

DFT (PBE-GGA) results for a geometry-optimized FePb2Br structure.

Formation energy without anion corrections, eV/atom: 0.412

a b c (Å): 6.327 6.327 8.322
angles (deg): 67.66 67.66 90.00
Fractional coordinates of all 8 atoms:
Pb  0.875  0.786  0.750
Pb  0.536  0.125  0.250
Pb  0.214  0.625  0.250
Pb  0.375  0.464  0.750
Fe  0.250  0.750  0.500
Fe  0.500  0.500  0.000
Br  0.000  0.000  0.000
Br  0.750  0.250  0.500

DFT (PBE-GGA) results for a geometry-optimized PmDy7Tm4 structure.

Formation energy from the elements, kJ per mole of atoms: 6.99

a b c (Å): 5.582 5.582 13.824
angles (deg): 90.00 90.00 120.00
Fractional coordinates of all 12 atoms:
Dy  0.333  0.667  0.125
Dy  0.667  0.333  0.627
Dy  0.333  0.667  0.373
Dy  0.667  0.333  0.875
Dy  0.000  0.000  0.750
Dy  0.000  0.000  0.000
Dy  0.000  0.000  0.250
Tm  0.333  0.667  0.876
Tm  0.667  0.333  0.374
Tm  0.667  0.333  0.124
Tm  0.333  0.667  0.626
Pm  0.000  0.000  0.500

DFT (PBE-GGA) results for a geometry-optimized PmYTe6 structure.

Formation energy without anion corrections, eV/atom: -0.950

a b c (Å): 4.362 4.364 13.735
angles (deg): 90.00 99.14 90.00
Fractional coordinates of all 8 atoms:
Pm  0.173  0.500  0.345
Te  0.294  0.500  0.587
Te  0.920  0.500  0.841
Te  0.078  0.000  0.156
Te  0.578  0.500  0.156
Te  0.709  0.000  0.418
Te  0.420  0.000  0.841
Y  0.828  0.000  0.655

DFT (PBE-GGA) results for a geometry-optimized Sm6Ho8Sc structure.

Formation energy from the elements, kJ per mole of atoms: 11.28

a b c (Å): 9.030 9.030 8.612
angles (deg): 58.38 58.38 60.00
Fractional coordinates of all 15 atoms:
Ho  0.423  0.423  0.731
Ho  0.280  0.889  0.580
Ho  0.111  0.749  0.420
Ho  0.889  0.251  0.580
Ho  0.577  0.577  0.269
Ho  0.251  0.280  0.580
Ho  0.720  0.111  0.420
Ho  0.749  0.720  0.420
Sm  0.105  0.226  0.127
Sm  0.895  0.774  0.873
Sm  0.542  0.105  0.127
Sm  0.458  0.895  0.873
Sm  0.226  0.542  0.127
Sm  0.774  0.458  0.873
Sc  0.000  0.000  0.000

DFT (PBE-GGA) results for a geometry-optimized SrYAgF6 structure.

Formation energy without anion corrections, eV/atom: -3.314

a b c (Å): 6.032 6.032 10.482
angles (deg): 90.00 90.00 120.00
Fractional coordinates of all 18 atoms:
F  0.646  0.686  0.633
F  0.354  0.314  0.367
F  0.646  0.960  0.867
F  0.040  0.354  0.633
F  0.354  0.040  0.133
F  0.314  0.960  0.633
F  0.960  0.314  0.133
F  0.314  0.354  0.867
F  0.960  0.646  0.367
F  0.040  0.686  0.867
F  0.686  0.646  0.133
F  0.686  0.040  0.367
Y  0.667  0.333  0.250
Y  0.333  0.667  0.750
Sr  0.000  0.000  0.000
Sr  0.000  0.000  0.500
Ag  0.333  0.667  0.250
Ag  0.667  0.333  0.750

DFT (PBE-GGA) results for a geometry-optimized La3Ce7Co4 structure.

Formation energy from the elements, kJ per mole of atoms: -6.60

a b c (Å): 3.626 9.409 10.919
angles (deg): 67.39 80.27 78.87
Fractional coordinates of all 14 atoms:
Co  0.663  0.420  0.254
Co  0.337  0.580  0.746
Co  0.133  0.093  0.646
Co  0.867  0.907  0.354
La  0.000  0.500  0.500
La  0.320  0.181  0.177
La  0.680  0.819  0.823
Ce  0.678  0.181  0.455
Ce  0.000  0.000  0.000
Ce  0.839  0.419  0.902
Ce  0.322  0.819  0.545
Ce  0.515  0.225  0.751
Ce  0.485  0.775  0.249
Ce  0.161  0.581  0.098

DFT (PBE-GGA) results for a geometry-optimized Dy2HoUO8 structure.

Formation energy without anion corrections, eV/atom: -3.288

a b c (Å): 3.854 5.321 7.525
angles (deg): 90.00 90.00 90.04
Fractional coordinates of all 12 atoms:
O  0.501  0.768  0.000
O  0.000  0.241  0.770
O  0.000  0.759  0.770
O  0.499  0.232  0.000
O  0.500  0.751  0.500
O  0.000  0.241  0.230
O  0.000  0.759  0.230
O  0.500  0.249  0.500
U  0.000  0.000  0.000
Dy  0.500  0.500  0.749
Dy  0.500  0.500  0.251
Ho  0.000  0.000  0.500

DFT (PBE-GGA) results for a geometry-optimized Pm6Te5N structure.

Formation energy without anion corrections, eV/atom: -1.366

a b c (Å): 7.420 7.612 7.558
angles (deg): 59.76 80.46 70.78
Fractional coordinates of all 12 atoms:
Pm  0.209  0.932  0.722
Pm  0.791  0.346  0.722
Pm  0.231  0.204  0.000
Pm  0.209  0.654  0.278
Pm  0.769  0.796  0.000
Pm  0.791  0.068  0.278
Te  0.500  0.500  0.000
Te  0.500  0.182  0.635
Te  0.000  0.664  0.673
Te  0.500  0.818  0.365
Te  0.000  0.336  0.327
N  0.000  0.000  0.000

DFT (PBE-GGA) results for a geometry-optimized LiAlRh2 structure.

Formation energy from the elements, kJ per mole of atoms: -38.56

a b c (Å): 2.748 3.850 5.165
angles (deg): 90.00 90.00 90.00
Fractional coordinates of all 4 atoms:
Al  0.000  0.000  0.488
Li  0.500  0.500  0.764
Rh  0.000  0.000  0.981
Rh  0.500  0.500  0.266

DFT (PBE-GGA) results for a geometry-optimized TmCdSn structure.

Formation energy from the elements, kJ per mole of atoms: -38.67

a b c (Å): 4.536 4.234 15.768
angles (deg): 90.00 90.00 90.00
Fractional coordinates of all 12 atoms:
Sn  0.000  0.250  0.575
Sn  0.500  0.750  0.925
Sn  0.500  0.250  0.075
Sn  0.000  0.750  0.425
Tm  0.500  0.250  0.410
Tm  0.000  0.250  0.910
Tm  0.500  0.750  0.590
Tm  0.000  0.750  0.090
Cd  0.499  0.750  0.241
Cd  0.501  0.250  0.759
Cd  0.999  0.250  0.259
Cd  0.001  0.750  0.741

DFT (PBE-GGA) results for a geometry-optimized Na5U3Te8 structure.

Formation energy without anion corrections, eV/atom: -0.823

a b c (Å): 8.982 8.982 9.093
angles (deg): 60.40 60.40 60.00
Fractional coordinates of all 16 atoms:
Na  0.500  0.000  0.000
Na  0.500  0.500  0.000
Na  0.000  0.500  0.000
Na  0.000  0.000  0.000
Na  0.500  0.500  0.500
Te  0.233  0.750  0.268
Te  0.245  0.245  0.265
Te  0.767  0.250  0.732
Te  0.750  0.233  0.268
Te  0.250  0.767  0.732
Te  0.750  0.750  0.268
Te  0.250  0.250  0.732
Te  0.755  0.755  0.735
U  0.500  0.000  0.500
U  0.000  0.500  0.500
U  0.000  0.000  0.500

DFT (PBE-GGA) results for a geometry-optimized Ce3SiAg structure.

Formation energy without anion corrections, eV/atom: -0.287

a b c (Å): 4.347 6.971 8.574
angles (deg): 81.29 90.01 108.18
Fractional coordinates of all 10 atoms:
Ag  0.827  0.686  0.767
Ag  0.217  0.468  0.655
Ce  0.263  0.559  0.035
Ce  0.464  0.960  0.594
Ce  0.056  0.146  0.410
Ce  0.781  0.595  0.386
Ce  0.580  0.194  0.828
Ce  0.988  0.008  0.011
Si  0.617  0.268  0.165
Si  0.427  0.886  0.257

DFT (PBE-GGA) results for a geometry-optimized ThCuPb structure.

Formation energy from the elements, kJ per mole of atoms: 15.35

a b c (Å): 4.208 4.208 5.376
angles (deg): 113.04 113.04 90.00
Fractional coordinates of all 3 atoms:
Pb  0.273  0.273  0.546
Cu  0.957  0.957  0.914
Th  0.620  0.620  0.240

DFT (PBE-GGA) results for a geometry-optimized In12SnPb6 structure.

Formation energy from the elements, kJ per mole of atoms: 5.95

a b c (Å): 8.435 8.435 8.435
angles (deg): 101.11 101.11 101.11
Fractional coordinates of all 19 atoms:
In  0.591  0.590  0.183
In  0.817  0.409  0.410
In  0.409  0.410  0.817
In  0.740  0.260  0.001
In  0.740  0.999  0.260
In  0.410  0.817  0.409
In  0.260  0.001  0.740
In  0.590  0.183  0.591
In  0.999  0.260  0.740
In  0.260  0.740  0.999
In  0.183  0.591  0.590
In  0.001  0.740  0.260
Sn  0.000  0.000  0.000
Pb  0.581  0.843  0.842
Pb  0.843  0.842  0.581
Pb  0.419  0.157  0.158
Pb  0.158  0.419  0.157
Pb  0.157  0.158  0.419
Pb  0.842  0.581  0.843